(1)
! LiHfIn3, relaxed, DFT PBE-GGA; values from VASP
&SYSTEM
  ibrav = 0, nat = 5, ntyp = 3
/
ATOMIC_SPECIES
Li 6.94 Li.upf
Hf 178.49 Hf.upf
In 114.82 In.upf
CELL_PARAMETERS angstrom
-0.7625 -4.2773 3.5254
-0.7123 -3.4535 -4.3441
5.4969 -1.0408 -0.0739
ATOMIC_POSITIONS angstrom
Li 2.0110 -4.3858 -0.4463
Hf 0.0000 0.0000 0.0000
In -0.3562 -1.7267 -2.1720
In 2.7485 -0.5204 -0.0370
In -0.3812 -2.1386 1.7627
! Spin magnetization, μB/cell: 0.00
! Total energy, eV per atom: -3.536
! Relative energy among the computed polymorphs, meV per atom: 82.0
! ΔE_f, meV/atom: 481



(2)
! GaC2N, relaxed, DFT PBE-GGA; values from VASP
&SYSTEM
  ibrav = 0, nat = 8, ntyp = 3
/
ATOMIC_SPECIES
C 12.01 C.upf
Ga 69.72 Ga.upf
N 14.01 N.upf
CELL_PARAMETERS angstrom
4.2655 0.0000 0.0000
0.0000 4.2655 0.0000
2.1328 2.1328 3.7536
ATOMIC_POSITIONS angstrom
C 2.8696 1.0664 0.9384
C 1.3959 3.1991 0.9384
C 3.1991 3.5287 2.8152
C 5.3319 5.0024 2.8152
Ga 0.0000 0.0000 0.0000
Ga 4.2655 2.1328 1.8768
N 2.1328 2.1328 0.0000
N 2.1328 4.2655 1.8768
! Formation energy without anion corrections, eV/atom: 1.18
! Spin magnetization, μB/cell: 0.00
! Total energy, eV per atom: -6.274
! Relative energy among the computed polymorphs, meV per atom: 0.0



(3)
! K2HfBr5Cl, relaxed, DFT PBE-GGA; values from VASP
&SYSTEM
  ibrav = 0, nat = 9, ntyp = 4
/
ATOMIC_SPECIES
K 39.10 K.upf
Hf 178.49 Hf.upf
Br 79.90 Br.upf
Cl 35.45 Cl.upf
CELL_PARAMETERS angstrom
-2.9521 -4.5307 5.2675
2.8734 -3.0389 -6.2847
6.4811 3.5926 1.4411
ATOMIC_POSITIONS angstrom
K 4.0692 -0.3327 2.1610
K 2.2653 -3.6484 -1.7019
Hf 9.3266 0.5521 -4.8291
Br 0.8358 -2.0693 1.3859
Br 5.5600 -1.9081 -0.9585
Br 3.7474 -1.4263 -4.4040
Br 5.6004 1.9796 -0.4361
Br 2.2973 0.1360 -1.1895
Cl 7.1671 0.4242 -3.7110
! Formation energy without anion corrections, eV/atom: -1.65
! Spin magnetization, μB/cell: 0.00
! Total energy, eV per atom: -4.137